(1)
ZrTi2Hg, optimized geometry, DFT PBE; M_tot = 0.000 μB/f.u.; N(E_F) = 5.5 states/eV per cell; DFT formation energy = -0.045 eV per atom
1.0
4.1812 0.0000 0.0000
0.0000 4.2784 0.0000
0.0000 0.0000 4.2784
Ti Zr Hg
2 1 1
direct
0.0000 0.0000 0.5000
0.0000 0.5000 0.0000
0.5000 0.5000 0.5000
0.5000 0.0000 0.0000

(2)
Zr2TiHg3, optimized geometry, DFT PBE; M_tot = 1.258 μB/f.u.; N(E_F) = 7.1 states/eV per cell; DFT formation energy = -0.111 eV per atom
1.0
-2.1610 1.1819 1.9825
-0.6387 -2.9160 1.0423
8.7285 1.2275 8.7828
Hg Ti Zr
3 1 2
direct
0.0000 0.0000 0.6558
0.0000 0.0000 0.3442
0.0000 0.0000 0.0000
0.5000 0.5000 0.5000
0.5000 0.5000 0.8283
0.5000 0.5000 0.1717

(3)
Zr2TiHg, optimized geometry, DFT PBE; M_tot = 1.613 μB/f.u.; N(E_F) = 4.1 states/eV per cell; DFT formation energy = 0.273 eV per atom
1.0
3.0548 0.0000 0.0000
1.5274 2.6455 0.0000
1.5274 0.8818 10.9053
Zr Ti Hg
2 1 1
direct
0.9133 0.9133 0.2600
0.0867 0.0867 0.7400
0.0000 0.0000 0.0000
0.5000 0.5000 0.5000

(4)
ZrTi2Hg, optimized geometry, DFT PBE; M_tot = 0.000 μB/f.u.; N(E_F) = 9.6 states/eV per cell; DFT formation energy = 0.350 eV per atom
1.0
-3.2243 -1.0263 2.2851
1.9176 -3.4077 1.1753
3.2748 2.6609 9.4638
Ti Hg Zr
4 2 2
direct
0.1296 0.6250 0.2500
0.3750 0.3796 0.7500
0.6204 0.1250 0.2500
0.8750 0.8704 0.7500
0.0000 0.0000 0.0000
0.7500 0.2500 0.5000
0.2500 0.7500 0.5000
0.5000 0.5000 0.0000

(5)
ZrTi2Hg, optimized geometry, DFT PBE; M_tot = 0.000 μB/f.u.; N(E_F) = 10.7 states/eV per cell; DFT formation energy = 0.039 eV per atom
1.0
5.1042 -0.0016 0.0000
0.0010 3.1324 0.0000
0.0000 0.0000 9.8068
Ti Zr Hg
4 2 2
direct
0.7500 0.2500 0.0022
0.2500 0.7500 0.5022
0.7500 0.2500 0.4978
0.2500 0.7500 0.9978
0.7498 0.7499 0.7500
0.2502 0.2501 0.2500
0.2498 0.2500 0.7500
0.7502 0.7500 0.2500

(6)
Zr4TiHg3, optimized geometry, DFT PBE; M_tot = 0.000 μB/f.u.; N(E_F) = 8.9 states/eV per cell; DFT formation energy = -0.138 eV per atom
1.0
-2.1033 -1.9913 -1.3088
2.2474 -2.2379 -0.2067
-4.2110 -5.6477 15.3605
Hg Zr Ti
3 4 1
direct
0.5000 0.5000 0.2482
0.5000 0.5000 0.5000
0.5000 0.5000 0.7518
0.0000 0.0000 0.8827
0.0000 0.0000 0.1173
0.0000 0.0000 0.6261
0.0000 0.0000 0.3739
0.5000 0.5000 0.0000

(7)
ZrTi4Hg, optimized geometry, DFT PBE; M_tot = 0.025 μB/f.u.; N(E_F) = 9.6 states/eV per cell; DFT formation energy = 0.119 eV per atom
1.0
-1.8084 -5.0977 -0.1073
0.1986 -3.0354 4.4739
-4.5678 -1.3048 2.5886
Hg Ti Zr
1 4 1
direct
0.0000 0.0000 0.0000
0.6225 0.6225 0.6225
0.6225 0.6225 0.1326
0.6225 0.1326 0.6225
0.1326 0.6225 0.6225
0.2500 0.2500 0.2500

(8)
ZrTi3Hg, optimized geometry, DFT PBE; M_tot = 3.806 μB/f.u.; N(E_F) = 6.3 states/eV per cell; DFT formation energy = 1.086 eV per atom
1.0
-4.1231 1.8044 2.1326
-2.3918 -0.3158 -4.3570
-1.4433 -4.6312 1.1280
Zr Ti Hg
1 3 1
direct
0.5000 0.5000 0.5000
0.0000 0.5000 0.0000
0.0000 0.0000 0.5000
0.5000 0.0000 0.0000
0.0000 0.0000 0.0000

(9)
Zr2TiHg, optimized geometry, DFT PBE; M_tot = 0.000 μB/f.u.; N(E_F) = 5.1 states/eV per cell; DFT formation energy = -0.080 eV per atom
1.0
4.3264 0.0000 0.0000
0.0000 4.3646 0.0000
0.0000 0.0000 4.3646
Hg Ti Zr
1 1 2
direct
0.5000 0.5000 0.5000
0.5000 0.0000 0.0000
0.0000 0.5000 0.0000
0.0000 0.0000 0.5000

(10)
Zr2TiHg, optimized geometry, DFT PBE; M_tot = 0.000 μB/f.u.; N(E_F) = 2.8 states/eV per cell; DFT formation energy = -0.023 eV per atom
1.0
-2.8479 -1.3985 -0.3884
-0.2539 -3.1820 0.1666
-2.6543 -0.8945 9.5310
Hg Zr Ti
1 2 1
direct
0.6667 0.6667 0.9998
0.0870 0.0870 0.7389
0.2465 0.2465 0.2604
0.4997 0.4997 0.5010

(11)
Zr2TiHg2, optimized geometry, DFT PBE; M_tot = 0.870 μB/f.u.; N(E_F) = 5.4 states/eV per cell; DFT formation energy = -0.033 eV per atom
1.0
5.5347 -1.3113 0.4763
1.4593 5.8654 0.3987
0.8357 0.5088 3.1556
Ti Zr Hg
1 2 2
direct
0.0000 0.5000 0.0000
0.2061 0.8865 0.2040
0.7939 0.1135 0.7960
0.6293 0.6907 0.5899
0.3707 0.3093 0.4101

(12)
Zr2TiHg, optimized geometry, DFT PBE; M_tot = 0.000 μB/f.u.; N(E_F) = 3.7 states/eV per cell; DFT formation energy = -0.098 eV per atom
1.0
3.1155 0.0000 0.0000
0.0000 3.1155 0.0000
0.0000 0.0000 8.6775
Ti Zr Hg
1 2 1
direct
0.5000 0.5000 0.0000
0.0000 0.0000 0.2377
0.0000 0.0000 0.7623
0.5000 0.5000 0.5000

(13)
Zr6TiHg5, optimized geometry, DFT PBE; M_tot = 1.220 μB/f.u.; N(E_F) = 14.2 states/eV per cell; DFT formation energy = -0.117 eV per atom
1.0
4.2097 -0.0214 1.4370
0.0392 8.5771 0.0130
0.0226 -0.0109 7.1199
Zr Hg Ti
6 5 1
direct
0.1665 0.7535 0.6681
0.8335 0.7535 0.3319
0.5000 0.7531 0.0000
0.8335 0.2465 0.3319
0.5000 0.2469 0.0000
0.1665 0.2465 0.6681
0.6674 0.5000 0.6670
0.3366 0.0000 0.3242
0.6634 0.0000 0.6758
0.0000 0.5000 0.0000
0.3326 0.5000 0.3330
0.0000 0.0000 0.0000

(14)
Zr2TiHg2, optimized geometry, DFT PBE; M_tot = 1.326 μB/f.u.; N(E_F) = 7.3 states/eV per cell; DFT formation energy = 0.257 eV per atom
1.0
8.2277 0.0000 0.0000
0.0000 8.2277 0.0000
0.0000 0.0000 3.3223
Hg Zr Ti
4 4 2
direct
0.3656 0.1344 0.5000
0.1344 0.6344 0.5000
0.8656 0.3656 0.5000
0.6344 0.8656 0.5000
0.3344 0.8344 0.0000
0.8344 0.6656 0.0000
0.6656 0.1656 0.0000
0.1656 0.3344 0.0000
0.5000 0.5000 0.0000
0.0000 0.0000 0.0000

(15)
ZrTi3Hg, optimized geometry, DFT PBE; M_tot = 1.575 μB/f.u.; N(E_F) = 7.0 states/eV per cell; DFT formation energy = 1.094 eV per atom
1.0
4.8366 0.0000 0.0000
0.0000 4.8366 0.0000
0.0000 0.0000 4.8366
Ti Hg Zr
3 1 1
direct
0.0000 0.0000 0.5000
0.5000 0.0000 0.0000
0.0000 0.5000 0.0000
0.5000 0.5000 0.5000
0.0000 0.0000 0.0000

(16)
ZrTi2Hg, optimized geometry, DFT PBE; M_tot = 0.000 μB/f.u.; N(E_F) = 4.2 states/eV per cell; DFT formation energy = -0.009 eV per atom
1.0
3.1240 0.0000 0.0000
0.0000 3.1240 0.0000
0.0000 0.0000 8.0546
Hg Ti Zr
1 2 1
direct
0.5000 0.5000 0.0000
0.0000 0.0000 0.7549
0.0000 0.0000 0.2451
0.5000 0.5000 0.5000

(17)
ZrTi2Hg, optimized geometry, DFT PBE; M_tot = 0.000 μB/f.u.; N(E_F) = 4.7 states/eV per cell; DFT formation energy = 0.084 eV per atom
1.0
3.1039 0.0013 0.0012
1.5531 2.6874 0.0012
1.5560 0.8984 9.5912
Ti Hg Zr
2 1 1
direct
0.0833 0.0833 0.7509
0.2503 0.2503 0.2491
0.4998 0.4998 0.5003
0.6667 0.6667 0.9997

(18)
Zr12TiHg3, optimized geometry, DFT PBE; M_tot = 0.000 μB/f.u.; N(E_F) = 15.3 states/eV per cell; DFT formation energy = -0.090 eV per atom
1.0
-2.2573 -2.5189 -2.8773
3.7971 -1.0793 -2.0340
1.8251 -14.0337 10.8539
Zr Ti Hg
12 1 3
direct
0.0000 0.5000 0.8781
0.5000 0.0000 0.6250
0.5000 0.0000 0.3750
0.5000 0.5000 0.7476
0.0000 0.5000 0.1219
0.5000 0.5000 0.5000
0.0000 0.5000 0.3750
0.5000 0.5000 0.2524
0.0000 0.5000 0.6250
0.5000 0.0000 0.8781
0.5000 0.5000 0.0000
0.5000 0.0000 0.1219
0.0000 0.0000 0.0000
0.0000 0.0000 0.2500
0.0000 0.0000 0.5000
0.0000 0.0000 0.7500

(19)
Zr2TiHg, optimized geometry, DFT PBE; M_tot = 0.000 μB/f.u.; N(E_F) = 10.5 states/eV per cell; DFT formation energy = 0.378 eV per atom
1.0
-1.9604 2.3024 -2.8012
-3.4898 -0.3335 2.1682
-0.2334 9.5972 5.0187
Hg Zr Ti
2 4 2
direct
0.0000 0.0000 0.0000
0.7500 0.2500 0.5000
0.1283 0.6250 0.2500
0.6217 0.1250 0.2500
0.8750 0.8717 0.7500
0.3750 0.3783 0.7500
0.5000 0.5000 0.0000
0.2500 0.7500 0.5000

(20)
TlHg, optimized geometry, DFT PBE; M_tot = 0.000 μB/f.u.; N(E_F) = 15.4 states/eV per cell; DFT formation energy = 0.244 eV per atom
1.0
9.5596 0.0000 0.0000
0.0000 9.5596 0.0000
0.0000 0.0000 9.5596
Hg Tl
8 8
direct
0.3175 0.6825 0.3175
0.3175 0.3175 0.6825
0.1825 0.1825 0.1825
0.6825 0.6825 0.6825
0.6825 0.3175 0.3175
0.1825 0.8175 0.8175
0.8175 0.8175 0.1825
0.8175 0.1825 0.8175
0.1379 0.8621 0.1379
0.8621 0.1379 0.1379
0.3621 0.6379 0.6379
0.3621 0.3621 0.3621
0.8621 0.8621 0.8621
0.6379 0.6379 0.3621
0.1379 0.1379 0.8621
0.6379 0.3621 0.6379

(21)
Tl3Hg5, optimized geometry, DFT PBE; M_tot = 0.000 μB/f.u.; N(E_F) = 4.7 states/eV per cell; DFT formation energy = -0.017 eV per atom
1.0
9.7224 0.0459 1.5344
-7.3726 5.2697 -0.6898
0.2319 -2.0466 8.7498
Tl Hg
6 10
direct
0.7431 0.8091 0.0951
0.7554 0.9556 0.4873
0.2560 0.1909 0.9049
0.7300 0.1920 0.2229
0.2692 0.8079 0.7771
0.2438 0.0444 0.5127
0.2437 0.6726 0.4015
0.2520 0.3221 0.2875
0.2322 0.9297 0.1458
0.7472 0.6780 0.7126
0.2670 0.4400 0.6648
0.2506 0.5685 0.0375
0.7554 0.3274 0.5985
0.7322 0.5600 0.3352
0.7486 0.4315 0.9625
0.7670 0.0703 0.8542

(22)
Tl3Hg, optimized geometry, DFT PBE; M_tot = 0.000 μB/f.u.; N(E_F) = 1.9 states/eV per cell; DFT formation energy = 0.014 eV per atom
1.0
-5.3987 -1.8231 2.0201
4.0792 0.0351 4.4620
-0.8344 3.2872 0.7369
Tl Hg
3 1
direct
0.0000 0.5000 0.5000
0.5000 0.5000 0.0000
0.5000 0.0000 0.5000
0.0000 0.0000 0.0000

(23)
Tl3Hg5, optimized geometry, DFT PBE; M_tot = 0.000 μB/f.u.; N(E_F) = 3.5 states/eV per cell; DFT formation energy = -0.014 eV per atom
1.0
-0.4549 3.1379 -3.6833
-2.0526 -3.4754 -2.7072
-7.4308 2.7496 6.4666
Hg Tl
5 3
direct
0.4991 0.9991 0.9983
0.7500 0.2500 0.5000
0.0009 0.5009 0.0017
0.6216 0.6216 0.2432
0.3784 0.3784 0.7568
0.8819 0.8819 0.7638
0.1181 0.1181 0.2362
0.2500 0.7500 0.5000

(24)
Tl3Hg5, optimized geometry, DFT PBE; M_tot = 0.000 μB/f.u.; N(E_F) = 2.6 states/eV per cell; DFT formation energy = -0.021 eV per atom
1.0
5.0946 0.0000 0.0000
0.0000 6.6707 -0.4922
0.0000 0.3558 6.6793
Hg Tl
5 3
direct
0.0000 0.5000 0.0000
0.5000 0.7381 0.7381
0.5000 0.2619 0.2619
0.0000 0.0000 0.5000
0.0000 0.0000 0.0000
0.5000 0.7668 0.2332
0.0000 0.5000 0.5000
0.5000 0.2332 0.7668

(25)
TlHg2, optimized geometry, DFT PBE; M_tot = 0.000 μB/f.u.; N(E_F) = 1.8 states/eV per cell; DFT formation energy = 0.057 eV per atom
1.0
4.4160 0.0000 0.0000
0.0000 4.4160 0.0000
0.0000 0.0000 4.9522
Hg Tl
2 1
direct
0.0000 0.5000 0.5000
0.5000 0.0000 0.5000
0.0000 0.0000 0.0000